Run A
# Cs3NaI4

Crystalline Cs3NaI4 at its relaxed geometry (PBE, the Alexandria database).

```
Cs3NaI4
1.0
-1.850 -1.118 7.399
7.296 -7.817 0.643
8.851 8.550 3.506
Cs Na I
6 2 8
Direct
0.565 0.849 0.000
0.065 0.670 0.237
0.565 0.330 0.263
0.065 0.151 0.500
0.565 0.330 0.737
0.065 0.670 0.763
0.015 0.177 0.000
0.515 0.823 0.500
0.067 0.885 0.000
0.604 0.195 0.000
0.067 0.310 0.221
0.567 0.690 0.279
0.104 0.805 0.500
0.567 0.115 0.500
0.567 0.690 0.721
0.067 0.310 0.779
```

Values from the calculation:
space group	Pmn2_1 (31)
magnetic moment	0.0	μB/f.u.

=====

Run B
# Cs3NaI4

Crystalline Cs3NaI4 at its relaxed geometry (PBE, the Alexandria database).

```
Cs3NaI4
1.0
5.217 0.000 0.796
2.548 4.552 0.796
-0.060 -0.035 17.878
Cs Na I
3 1 4
Direct
0.744 0.744 0.769
0.500 0.500 0.500
0.256 0.256 0.231
0.000 0.000 0.000
0.636 0.636 0.092
0.879 0.879 0.364
0.364 0.364 0.908
0.121 0.121 0.636
```

Values from the calculation:
space group	R-3m (166)
magnetic moment	0.0	μB/f.u.

=====

run B takes first place; second place is 2.8 kJ/mol of atoms up.

=====

Run A
# CsNaIO2

Crystalline CsNaIO2 at its relaxed geometry (PBE, the Alexandria database).

```
CsNaIO2
1.0
-0.913 -3.917 -3.249
2.914 -3.109 2.928
-4.950 -1.559 3.271
Cs I O Na
1 1 2 1
Direct
0.500 0.500 0.500
0.000 0.000 0.500
0.000 0.500 0.000
0.500 0.000 0.000
0.000 0.000 0.000
```

Values from the calculation:
space group	P4/mmm (123)
magnetic moment	3.0	μB/f.u.

=====

Run B
# CsNaIO2

Crystalline CsNaIO2 at its relaxed geometry (PBE, the Alexandria database).

```
CsNaIO2
1.0
-0.431 4.286 1.053
0.963 -0.941 4.225
7.603 1.129 -1.482
Cs I O Na
1 1 2 1
Direct
0.000 0.000 0.000
0.000 0.000 0.500
0.000 0.500 0.000
0.500 0.000 0.000
0.500 0.500 0.500
```

Values from the calculation:
space group	P4/mmm (123)
magnetic moment	0.2	μB/f.u.

=====

run A takes first place; second place is 18.6 kJ/mol of atoms up.

=====

Run A
# Cs2NaPtI6

Crystalline Cs2NaPtI6 at its relaxed geometry (PBE, the Alexandria database).

```
Cs2NaPtI6
1.0
8.215 0.000 0.000
4.107 7.114 0.000
4.107 2.371 14.734
Cs Na Pt I
4 2 2 12
Direct
0.877 0.877 0.368
0.123 0.123 0.632
0.701 0.701 0.898
0.299 0.299 0.102
0.583 0.583 0.251
0.417 0.417 0.749
0.000 0.000 0.000
0.500 0.500 0.500
0.860 0.373 0.394
0.373 0.860 0.394
0.373 0.373 0.394
0.140 0.627 0.606
0.627 0.140 0.606
0.627 0.627 0.606
0.718 0.196 0.890
0.196 0.718 0.890
0.196 0.196 0.890
0.282 0.804 0.110
0.804 0.282 0.110
0.804 0.804 0.110
```

Values from the calculation:
space group	R-3m (166)
magnetic moment	0.0	μB/f.u.

=====

Run B
# Cs2NaPtI6

Crystalline Cs2NaPtI6 at its relaxed geometry (PBE, the Alexandria database).

```
Cs2NaPtI6
1.0
-6.720 3.910 -3.230
-4.865 -6.484 2.273
-6.804 1.311 4.771
Cs I Pt Na
2 6 1 1
Direct
0.750 0.250 0.500
0.250 0.750 0.500
0.233 0.233 0.535
0.767 0.767 0.465
0.233 0.233 0.000
0.767 0.767 0.000
0.767 0.233 0.000
0.233 0.767 0.000
0.000 0.000 0.000
0.500 0.500 0.000
```

Values from the calculation:
space group	I4/mmm (139)
magnetic moment	0.0	μB/f.u.

=====

run A takes first place; second place is 1.1 kJ/mol of atoms up.